First-principles (PBE) data for an optimized crystal structure of Nd2Ge2PdPt3, as listed in OQMD.

Cell and atoms, written as POSCAR:
```
Nd2Ge2PdPt3
1.0
-3.265 -2.612 -1.461
0.616 0.552 4.351
-5.900 7.437 -0.109
Ge Nd Pd Pt
2 2 1 3
Direct
0.000 0.000 0.500 Ge
0.000 0.000 0.993 Ge
0.667 0.333 0.252 Nd
0.333 0.667 0.751 Nd
0.333 0.667 0.078 Pd
0.333 0.667 0.420 Pt
0.667 0.333 0.577 Pt
0.667 0.333 0.929 Pt
```

Computed properties:
E_tot   -6.13 eV/atom
Magnetic moment   0.01 μB/cell
Calculated volume   20.2 Å³ per atom